First-principles (SCAN) data for a PBEsol-optimized structure of Dy2Sb5, as listed in Alexandria.

Cell and atoms, written as POSCAR:
```
Dy2Sb5
1.0
13.001 0.000 0.000
0.000 4.142 0.000
-2.953 0.000 14.112
Dy Sb
8 20
direct
0.046 0.250 0.362
0.332 0.250 0.578
0.338 0.250 0.856
0.391 0.750 0.229
0.609 0.250 0.771
0.662 0.750 0.144
0.668 0.750 0.422
0.954 0.750 0.638
0.031 0.250 0.084
0.139 0.250 0.679
0.141 0.750 0.222
0.145 0.750 0.518
0.151 0.750 0.832
0.276 0.250 0.064
0.282 0.250 0.346
0.420 0.750 0.024
0.426 0.750 0.735
0.427 0.750 0.449
0.573 0.250 0.551
0.574 0.250 0.265
0.580 0.250 0.976
0.718 0.750 0.654
0.724 0.750 0.936
0.849 0.250 0.168
0.855 0.250 0.482
0.859 0.250 0.778
0.861 0.750 0.321
0.969 0.750 0.916
```

Output
E_form (uncorrected): -0.706 eV per atom
Calculated density: 8.2 g/cm3
DOS(E_F): 7.24 states/eV per cell
M_tot: 0.00 μB per formula unit